1.
Density functional theory data (GGA-PBE) for CoRuPb2 after structural relaxation.

Output
Offset from the most stable computed form = 488.9 meV per atom
Crystal system = cubic

CIF file:
```
data_CoRuPb2
_cell_length_a 6.8146
_cell_length_b 6.8146
_cell_length_c 6.8146
_cell_angle_alpha 90.00
_cell_angle_beta 90.00
_cell_angle_gamma 90.00
_symmetry_space_group_name_H-M 'F -4 3 m'
_symmetry_Int_Tables_number 216
_symmetry_space_group_name_Hall 'F -4 2 3'
loop_
_atom_site_label
_atom_site_type_symbol
_atom_site_fract_x
_atom_site_fract_y
_atom_site_fract_z
Co1 Co 0.0000 0.0000 0.0000
Ru1 Ru 0.2500 0.2500 0.2500
Pb1 Pb 0.0000 0.0000 0.5000
Pb2 Pb 0.2500 0.2500 0.7500
```

---

2.
Density functional theory data (GGA-PBE) for CsScHgTe2 after structural relaxation.

Output
ΔE_f (raw) = -0.78 eV/atom
Crystal system = tetragonal

CIF file:
```
data_CsScHgTe2
_cell_length_a 5.6967
_cell_length_b 5.6967
_cell_length_c 5.8621
_cell_angle_alpha 90.00
_cell_angle_beta 90.00
_cell_angle_gamma 90.00
_symmetry_space_group_name_H-M 'P 4/m m m'
_symmetry_Int_Tables_number 123
_symmetry_space_group_name_Hall '-P 4 2'
loop_
_atom_site_label
_atom_site_type_symbol
_atom_site_fract_x
_atom_site_fract_y
_atom_site_fract_z
Cs1 Cs 0.0000 0.0000 0.0000
Sc1 Sc 0.5000 0.5000 0.5000
Hg1 Hg 0.5000 0.5000 0.0000
Te1 Te 0.0000 0.5000 0.5000
```

---

> What is the formula in the second record?

CsScHgTe2